<a>
The following is a DFT calculation (GGA-PBE) of MoIrCl after structural relaxation.

Calculated values
volume = 54 Å³/f.u.
SG = F-43m, No. 216

Geometry as extended XYZ:
```
3
Lattice="-0.5563 -3.9085 -1.5768 2.5337 -3.1766 1.2496 -1.5349 -3.0935 2.4791" Properties=species:S:1:pos:R:3 pbc="T T T"
Cl 0.0000 0.0000 0.0000
Ir 0.2213 -5.0893 1.0760
Mo 0.3319 -7.6340 1.6140
```

<b>
The following is a DFT calculation (GGA-PBE) of MoIrCl after structural relaxation.

Calculated values
volume = 50 Å³/f.u.
SG = P3m1, No. 156

Geometry as extended XYZ:
```
3
Lattice="-0.9215 0.5139 2.6779 -0.6055 -2.5090 -1.2737 5.9475 -2.7413 2.5726" Properties=species:S:1:pos:R:3 pbc="T T T"
Cl 5.6114 -2.5864 2.4272
Ir 1.4418 -1.5345 2.3374
Mo 3.3148 -3.3569 1.7848
```

<c>
The following is a DFT calculation (GGA-PBE) of MoIrCl after structural relaxation.

Calculated values
volume = 59 Å³/f.u.
SG = I4mm, No. 107

Geometry as extended XYZ:
```
3
Lattice="-2.9350 1.4507 -6.5164 -5.7327 -0.7256 -4.4488 3.5349 1.3736 6.2289" Properties=species:S:1:pos:R:3 pbc="T T T"
Cl -0.4169 0.0349 -0.5274
Ir -2.4561 0.2055 -3.1071
Mo -5.7947 0.4847 -7.3306
```

Unit: eV/atom. Relative energies: <a> 0.525; <b> 0.000; <c> 0.008.

<a>
The following is a DFT calculation (GGA-PBE) of Mo2IrCl after structural relaxation.

Calculated values
volume = 61 Å³/f.u.
SG = Immm, No. 71

Geometry as extended XYZ:
```
4
Lattice="-4.6510 -2.2710 0.9000 -0.6551 -2.4585 4.5963 0.9846 4.5047 -2.5175" Properties=species:S:1:pos:R:3 pbc="T T T"
Cl -3.1597 -0.0655 0.5653
Ir -1.1618 -0.1593 2.4135
Mo -5.1891 -4.6252 5.3751
Mo -2.7700 -2.4690 2.8693
```

<b>
The following is a DFT calculation (GGA-PBE) of Mo2IrCl after structural relaxation.

Calculated values
volume = 62 Å³/f.u.
SG = Pm, No. 6

Geometry as extended XYZ:
```
4
Lattice="-1.2470 -3.9679 -0.9065 -0.5353 -0.4507 2.7091 -5.1752 1.4723 0.6744" Properties=species:S:1:pos:R:3 pbc="T T T"
Cl -2.7074 0.5783 1.1931
Ir -4.9865 -1.1501 1.8986
Mo -4.9906 1.3695 0.8705
Mo -2.3034 -1.7608 0.8808
```

<c>
The following is a DFT calculation (GGA-PBE) of Mo2IrCl after structural relaxation.

Calculated values
volume = 61 Å³/f.u.
SG = Imm2, No. 44

Geometry as extended XYZ:
```
4
Lattice="5.3987 -0.0012 -0.0022 2.7130 4.6674 0.0022 -3.4679 -3.3553 2.4211" Properties=species:S:1:pos:R:3 pbc="T T T"
Cl 4.1399 2.3815 0.0000
Ir 1.7190 1.8620 1.2117
Mo 0.0785 0.0451 0.0000
Mo 2.7623 -0.6446 1.2094
```

<d>
The following is a DFT calculation (GGA-PBE) of Mo2IrCl after structural relaxation.

Calculated values
volume = 63 Å³/f.u.
SG = Pmm2, No. 25

Geometry as extended XYZ:
```
4
Lattice="-2.5333 0.7382 0.9178 -1.5159 -0.5846 -3.7142 -1.0907 -5.3423 1.2860" Properties=species:S:1:pos:R:3 pbc="T T T"
Cl -0.4533 -2.2202 0.5345
Ir -2.8901 -4.1620 -0.3778
Mo -1.0639 -5.2106 1.2543
Mo -2.3689 -1.6093 -0.9923
```

Unit: eV/atom. Relative energies: <a> 0.266; <b> 0.000; <c> 0.040; <d> 0.089.

<a>
The following is a DFT calculation (GGA-PBE) of Mo3IrCl after structural relaxation.

Calculated values
volume = 82 Å³/f.u.
SG = Pm-3m, No. 221

Geometry as extended XYZ:
```
5
Lattice="-3.9513 -1.4945 -1.0493 0.0495 -2.5880 3.4996 -1.8254 3.1648 2.3663" Properties=species:S:1:pos:R:3 pbc="T T T"
Mo 0.0248 -1.2940 1.7498
Mo -0.9127 1.5824 1.1831
Mo -1.9757 -0.7473 -0.5246
Ir -2.8636 -0.4588 2.4083
Cl 0.0000 0.0000 0.0000
```

<b>
The following is a DFT calculation (GGA-PBE) of Mo3IrCl after structural relaxation.

Calculated values
volume = 113 Å³/f.u.
SG = Pm-3m, No. 221

Geometry as extended XYZ:
```
5
Lattice="4.8335 0.0000 0.0000 0.0000 4.8335 0.0000 0.0000 0.0000 4.8335" Properties=species:S:1:pos:R:3 pbc="T T T"
Mo 0.0000 2.4167 0.0000
Mo 0.0000 0.0000 2.4167
Mo 2.4167 0.0000 0.0000
Ir 0.0000 0.0000 0.0000
Cl 2.4167 2.4167 2.4167
```

Unit: eV/atom. Relative energies: <a> 0.000; <b> 0.688.